[1]
Here is crystalline CsMgP at its relaxed geometry from Alexandria. Energies are from PBE-GGA.

Calculated values
Calculated formation energy: -0.305 eV per atom
Energy: -2.92 eV/atom
Symmetry: Cmcm, No. 63
Calculated density: 2063 kg/m³

Lattice parameters (Å, degrees): 7.6778 7.6778 6.3402 90.00 90.00 125.85
Closest atoms and distances in Å follow each position.
Element x y z (fractional)
Cs 0.2906 0.7094 0.2500  4 P 3.65-3.84
Cs 0.7094 0.2906 0.7500  4 P 3.65-3.84
P 0.8678 0.1322 0.2500  2 Mg 2.40
P 0.1322 0.8678 0.7500  2 Mg 2.40
Mg 0.0000 0.0000 0.0000  2 P 2.40
Mg 0.0000 0.0000 0.5000  2 P 2.40

=====

[2]
Here is crystalline CeTeBr at its relaxed geometry from Alexandria. Energies are from PBE-GGA.

Calculated values
ΔE_f (raw): -1438 meV/atom
Energy: -5.02 eV/atom
Symmetry: I4/mmm, No. 139
Relative energy among the computed polymorphs: 0.097 eV per atom
Calculated density: 6392 kg/m³

Lattice parameters (Å, degrees): 4.6002 4.6002 9.1332 104.59 104.59 90.00
Closest atoms and distances in Å follow each position.
Element x y z (fractional)
Ce 0.1279 0.1279 0.2559  4 Br 3.17, 5 Te 3.22-3.39
Ce 0.8721 0.8721 0.7441  4 Br 3.17, 5 Te 3.22-3.39
Br 0.0000 0.5000 0.0000  4 Ce 3.17, 4 Br 3.25
Br 0.5000 0.0000 0.0000  4 Ce 3.17, 4 Br 3.25
Te 0.6832 0.6832 0.3664  5 Ce 3.22-3.39
Te 0.3168 0.3168 0.6336  5 Ce 3.22-3.39

=====

[3]
Here is crystalline PmSiNiN at its relaxed geometry from Alexandria. Energies are from PBE-GGA.

Calculated values
ΔE_f (raw): -1089 meV/atom
Energy: -7.16 eV/atom
Symmetry: P4/nmm, No. 129
Calculated density: 7027 kg/m³

Lattice parameters (Å, degrees): 3.7383 3.7383 8.3115 90.00 90.00 90.00
Closest atoms and distances in Å follow each position.
Element x y z (fractional)
Pm 0.0000 0.5000 0.8429  5 N 2.39-2.65
Pm 0.5000 0.0000 0.1571  5 N 2.39-2.65
Si 0.0000 0.5000 0.3431  1 N 1.77
Si 0.5000 0.0000 0.6569  1 N 1.77
Ni 0.0000 0.0000 0.5000  4 Si 2.28
Ni 0.5000 0.5000 0.5000  4 Si 2.28
N 0.5000 0.0000 0.8694  1 Si 1.77
N 0.0000 0.5000 0.1306  1 Si 1.77

=====

[4]
Here is crystalline Re5P4 at its relaxed geometry from Alexandria. Energies are from PBE-GGA.

Calculated values
Calculated formation energy: 0.195 eV per atom
Energy: -9.13 eV/atom
Symmetry: P6_3/mcm, No. 193
Relative energy among the computed polymorphs: 0.000 eV per atom
Calculated density: 13385 kg/m³

Lattice parameters (Å, degrees): 6.6637 6.6637 6.8066 90.00 90.00 120.00
Closest atoms and distances in Å follow each position.
Element x y z (fractional)
Re 0.0000 0.7491 0.2500  5 P 2.25-2.40
Re 0.2509 0.2509 0.2500  5 P 2.25-2.40
Re 0.7491 0.0000 0.2500  5 P 2.25-2.40
Re 0.0000 0.2509 0.7500  5 P 2.25-2.40
Re 0.7491 0.7491 0.7500  5 P 2.25-2.40
Re 0.2509 0.0000 0.7500  5 P 2.25-2.40
Re 0.6667 0.3333 0.0000  6 P 2.63
Re 0.3333 0.6667 0.5000  6 P 2.63
Re 0.3333 0.6667 0.0000  6 P 2.63
Re 0.6667 0.3333 0.5000  6 P 2.63
P 0.0000 0.0000 0.0000  6 Re 2.39
P 0.0000 0.0000 0.5000  6 Re 2.39
P 0.0000 0.4118 0.2500  3 Re 2.25-2.40
P 0.5882 0.5882 0.2500  3 Re 2.25-2.40
P 0.4118 0.0000 0.2500  3 Re 2.25-2.40
P 0.0000 0.5882 0.7500  3 Re 2.25-2.40
P 0.4118 0.4118 0.7500  3 Re 2.25-2.40
P 0.5882 0.0000 0.7500  3 Re 2.25-2.40